Density functional theory data (PBE) for an optimized crystal structure of Na4TbU3Se8.

Unit cell a=8.280 b=8.535 c=8.278 alpha=119.00 beta=120.01 gamma=90.00
Sites, in units of the cell vectors:
1 Na 0.500 0.000 0.000
2 Na 0.500 0.000 0.500
3 Na 0.000 0.000 0.000
4 Na 0.000 0.000 0.500
5 Tb 0.000 0.500 0.000
6 U 0.500 0.500 0.000
7 U 0.500 0.500 0.500
8 U 0.000 0.500 0.500
9 Se 0.244 0.734 0.990
10 Se 0.244 0.734 0.488
11 Se 0.255 0.265 0.510
12 Se 0.746 0.734 0.990
13 Se 0.254 0.266 0.010
14 Se 0.745 0.735 0.490
15 Se 0.756 0.266 0.512
16 Se 0.756 0.266 0.010

Results
DOS at the Fermi energy = 0.99 states/eV/atom
raw formation energy = -1300 meV/atom
calculated volume = 420 Å³/cell